No. 1
This record from the Alexandria database describes crystalline Nd3SiGe at its relaxed geometry. The functional is PBE.

Output
Total moment = 0.0 Bohr magnetons per cell
Uncorrected energy = -54.1 eV/cell
Formation energy without anion corrections = -0.544 eV per atom
Symmetry = C2/m, No. 12

a b c (Å): 8.1553 8.1553 8.4832
angles (deg): 94.37 94.37 28.98
Atoms (fractional coordinates):
1 Nd 0.0448 0.0448 0.1736
2 Nd 0.2348 0.2348 0.8196
3 Nd 0.4063 0.4063 0.4341
4 Nd 0.5937 0.5937 0.5659
5 Nd 0.7652 0.7652 0.1804
6 Nd 0.9552 0.9552 0.8264
7 Si 0.3919 0.3919 0.0719
8 Si 0.6081 0.6081 0.9281
9 Ge 0.2069 0.2069 0.4230
10 Ge 0.7931 0.7931 0.5770

---

No. 2
This record from the Alexandria database describes crystalline NdSiGe at its relaxed geometry. The functional is PBE.

Output
Total moment = 0.0 Bohr magnetons per cell
Uncorrected energy = -32.9 eV/cell
Formation energy without anion corrections = -0.554 eV per atom
Symmetry = Cmcm, No. 63
Distance to the lowest polymorph of the same formula = 0.046 eV/atom

a b c (Å): 4.1970 4.1970 8.3137
angles (deg): 90.00 90.00 115.25
Atoms (fractional coordinates):
1 Nd 0.0000 0.0000 0.0000
2 Nd 0.0000 0.0000 0.5000
3 Si 0.3266 0.6734 0.7500
4 Si 0.6734 0.3266 0.2500
5 Ge 0.3297 0.6703 0.2500
6 Ge 0.6703 0.3297 0.7500

---

No. 3
This record from the Alexandria database describes crystalline Nd2SiGe at its relaxed geometry. The functional is PBE.

Output
Total moment = 0.0 Bohr magnetons per cell
Uncorrected energy = -21.7 eV/cell
Formation energy without anion corrections = -0.539 eV per atom
Symmetry = R-3m, No. 166

a b c (Å): 7.4094 7.4094 7.4094
angles (deg): 33.61 33.61 33.61
Atoms (fractional coordinates):
1 Nd 0.2484 0.2484 0.2484
2 Nd 0.7516 0.7516 0.7516
3 Si 0.5000 0.5000 0.5000
4 Ge 0.0000 0.0000 0.0000

---

No. 4
This record from the Alexandria database describes crystalline Nd6Si2Ge at its relaxed geometry. The functional is PBE.

Output
Total moment = 0.0 Bohr magnetons per cell
Uncorrected energy = -97.7 eV/cell
Formation energy without anion corrections = -0.530 eV per atom
Symmetry = Immm, No. 71
Distance to the lowest polymorph of the same formula = 0.000 eV/atom

a b c (Å): 8.7012 8.7012 8.7012
angles (deg): 111.83 109.73 106.89
Atoms (fractional coordinates):
1 Nd 0.0439 0.2436 0.8004
2 Nd 0.1806 0.2690 0.4496
3 Nd 0.1806 0.7310 0.9116
4 Nd 0.3240 0.0341 0.7101
5 Nd 0.3240 0.6139 0.2899
6 Nd 0.4432 0.2436 0.1996
7 Nd 0.5568 0.7564 0.8004
8 Nd 0.6760 0.3861 0.7101
9 Nd 0.6760 0.9659 0.2899
10 Nd 0.8194 0.2690 0.0884
11 Nd 0.8194 0.7310 0.5504
12 Nd 0.9561 0.7564 0.1996
13 Si 0.1143 0.6143 0.5000
14 Si 0.3757 0.0000 0.3757
15 Si 0.6242 0.0000 0.6242
16 Si 0.8857 0.3857 0.5000
17 Ge 0.0000 0.0000 0.0000
18 Ge 0.5000 0.5000 0.0000